(1)
This record from Alexandria describes a relaxed structure of Pu3ZrTl4S8. The functional is PBE-GGA.

The calculation puts the total magnetic moment at 16.0 μB per formula unit. For the formation energy (no corrections), the calculation gives -1.199 eV/atom.

The structure belongs to space group R-3m (No. 166, hexagonal axes); the cell edges are 8.0108, 8.0108 and 22.5243 Å and the angles 90.00°, 90.00° and 120.00°. The inequivalent atoms are Pu at (0.0000, 0.5000, 0.0000), Zr at (0.0000, 0.0000, 0.0000), Tl at (0.0000, 0.0000, 0.5000), Tl at (0.0000, 0.5000, 0.5000), S at (0.0000, 0.0000, 0.2678) and S at (0.0169, 0.5085, 0.7314).

---

(2)
This record from Alexandria describes a relaxed structure of Tm4Pu3S8. The functional is PBE-GGA.

The calculation puts the total magnetic moment at 16.9 μB per formula unit. For the formation energy (no corrections), the calculation gives -1.924 eV/atom.

The structure belongs to space group C2/m (No. 12); the cell edges are 10.989, 11.006 and 7.765 Å and the angles 90.00°, 134.75° and 90.00°. The inequivalent atoms are Tm at (0.000, 0.000, 0.000), Tm at (0.000, 0.000, 0.500), Tm at (0.250, 0.250, 0.000), Pu at (0.000, 0.500, 0.500), Pu at (0.250, 0.250, 0.500), S at (0.000, 0.248, 0.000), S at (0.000, 0.248, 0.500), S at (0.244, 0.000, 0.493) and S at (0.244, 0.000, 0.991).

---

(3)
This record from Alexandria describes a relaxed structure of TmPuS2. The functional is PBE-GGA.

The calculation puts the total magnetic moment at 5.8 μB per formula unit. For the formation energy (no corrections), the calculation gives -1.884 eV/atom. The calculation puts the energy relative to the lowest polymorph listed for this composition at 0 meV per atom.

The structure belongs to space group R-3m (No. 166, hexagonal axes); the cell edges are 3.8775, 3.8775 and 19.3300 Å and the angles 90.00°, 90.00° and 120.00°. The inequivalent atoms are Tm at (0.0000, 0.0000, 0.0000), Pu at (0.0000, 0.0000, 0.5000) and S at (0.0000, 0.0000, 0.2533).

---

(4)
This record from Alexandria describes a relaxed structure of TmPu5S6. The functional is PBE-GGA.

The calculation puts the total magnetic moment at 16.5 μB per formula unit. For the formation energy (no corrections), the calculation gives -1.778 eV/atom.

The structure belongs to space group C2/m (No. 12); the cell edges are 6.822, 11.809 and 6.815 Å and the angles 90.00°, 109.49° and 90.00°. The inequivalent atoms are Tm at (0.000, 0.000, 0.000), Pu at (0.000, 0.168, 0.500), Pu at (0.000, 0.334, 0.000), Pu at (0.000, 0.500, 0.500), S at (0.245, 0.000, 0.753) and S at (0.246, 0.166, 0.246).

---

Question: total magnetic moment of number 2 (Tm4Pu3S8)?
Answer: 16.9 μB per formula unit